*P*
Here is an optimized crystal structure of BaCaCeZrO6 from Alexandria via LeMat-Bulk. Energies are from PBE.

Lattice parameters (Å, degrees): 5.9907 5.9944 8.6062 90.10 89.94 90.46
With the nearest neighbours (Å) after each atom.
Element x y z (fractional)
1 O 0.7045 0.3076 0.4995  1 Zr 2.11, 1 Ce 2.21
2 O 0.5843 0.9664 0.7580  1 Zr 2.15, 1 Ce 2.29, 1 Ca 2.40
3 O 0.2038 0.1862 0.9403  1 Zr 2.17, 1 Ce 2.31, 1 Ca 2.43
4 O 0.8139 0.7963 0.4404  1 Zr 2.17, 1 Ce 2.31, 1 Ca 2.43
5 O 0.7962 0.8138 0.0597  1 Zr 2.17, 1 Ce 2.31, 1 Ca 2.43
6 O 0.2955 0.6924 0.5005  1 Zr 2.11, 1 Ce 2.21
7 O 0.1861 0.2037 0.5596  1 Zr 2.17, 1 Ce 2.31, 1 Ca 2.43
8 O 0.9631 0.5823 0.7420  1 Zr 2.15, 1 Ce 2.29, 1 Ca 2.40
9 O 0.6922 0.2956 0.0023  1 Zr 2.11, 1 Ce 2.21
10 O 0.4157 0.0336 0.2420  1 Zr 2.15, 1 Ce 2.29, 1 Ca 2.40
11 O 0.3078 0.7044 0.9977  1 Zr 2.11, 1 Ce 2.21
12 O 0.0369 0.4177 0.2580  1 Zr 2.15, 1 Ce 2.29, 1 Ca 2.40
13 Ca 0.9842 0.9824 0.7498  4 O 2.40-2.43
14 Ca 0.0158 0.0176 0.2502  4 O 2.40-2.43
15 Ce 0.5000 0.0000 0.5000  6 O 2.21-2.31
16 Ce 0.0000 0.5000 0.0000  6 O 2.21-2.31
17 Zr 0.0000 0.5000 0.5000  6 O 2.11-2.17
18 Zr 0.5000 0.0000 0.0000  6 O 2.11-2.17
19 Ba 0.4860 0.4846 0.7500  8 O 2.73-2.95
20 Ba 0.5140 0.5154 0.2500  8 O 2.73-2.95

Values from the calculation:
As for the symmetry: No. 2. The density of states at the Fermi level is 0.0000 states/eV/atom. As for the density: 5.424 g cm⁻³. The total magnetization comes out at 0.00 μB/atom.

***

*Q*
Here is an optimized crystal structure of BaCaCeZrO6 from Alexandria via LeMat-Bulk. Energies are from PBE.

Lattice parameters (Å, degrees): 6.1160 6.1160 6.1160 60.00 60.00 60.00
With the nearest neighbours (Å) after each atom.
Element x y z (fractional)
1 O 0.7433 0.2567 0.7433  1 Zr 2.10, 1 Ce 2.22
2 O 0.7433 0.7433 0.2567  1 Zr 2.10, 1 Ce 2.22
3 O 0.7433 0.2567 0.2567  1 Zr 2.10, 1 Ce 2.22
4 O 0.2567 0.7433 0.7433  1 Zr 2.10, 1 Ce 2.22
5 O 0.2567 0.7433 0.2567  1 Zr 2.10, 1 Ce 2.22
6 O 0.2567 0.2567 0.7433  1 Zr 2.10, 1 Ce 2.22
7 Ce 0.0000 0.0000 0.0000  6 O 2.22
8 Zr 0.5000 0.5000 0.5000  6 O 2.10
9 Ba 0.2500 0.2500 0.2500  12 O 3.06
10 Ca 0.7500 0.7500 0.7500  12 O 3.06

Values from the calculation:
As for the symmetry: No. 216. The density of states at the Fermi level is 0.0000 states/eV/atom. As for the density: 5.181 g cm⁻³. The total magnetization comes out at 0.00 μB/atom.

***

Consider the structures shown above. The least stable of them is *Q*.